## i
As5P3 PBE relaxed; SG = No. 1; total magnetic moment = 0.0 μB per cell
1.0
-8.100 -1.629 0.005
7.865 -3.069 3.186
-1.854 7.000 6.356
As P
10 6
Cartesian
-0.821 -1.703 4.777
-5.888 -1.344 0.313
4.971 -2.413 3.681
0.473 0.760 2.038
-1.099 3.338 6.561
-1.274 4.549 4.353
-5.527 1.841 3.939
-4.849 4.186 6.585
0.313 4.607 8.231
3.743 -0.033 5.687
-0.740 -0.344 0.313
-2.775 4.646 7.673
0.457 -0.163 6.149
-3.942 -1.131 1.629
2.553 3.895 7.822
-2.027 2.431 3.434


## ii
As5P3 PBE relaxed; SG = No. 193; total magnetic moment = 0.0 μB per cell; DOS at the Fermi energy = 0.63 states/eV per atom
1.0
-2.270 -4.587 4.903
6.298 -0.959 -3.104
3.061 3.852 5.020
As P
10 6
Cartesian
4.973 -0.243 2.075
3.201 1.643 4.170
3.889 -3.337 2.650
2.117 -1.452 4.744
0.586 -3.378 2.234
3.442 -2.169 -0.435
7.179 2.145 1.359
2.181 0.747 0.558
0.255 -0.068 2.357
0.536 -0.667 7.566
-0.529 -1.652 4.050
4.593 -0.273 4.791
1.320 0.917 5.873
4.356 0.416 -0.515
5.003 2.476 2.431
2.497 -1.421 2.028


The structure with the least stability is ii.


## i
As2P3 PBE relaxed; SG = No. 43; total magnetic moment = 0.0 μB per cell; DOS at the Fermi energy = 0.17 states/eV per atom
1.0
0.000 5.328 6.356
2.739 0.000 6.356
2.739 5.328 0.000
As P
4 6
Cartesian
2.352 3.412 7.218
3.721 6.076 8.671
3.721 4.580 4.040
2.352 7.245 5.493
0.638 4.455 3.998
2.007 1.790 5.535
0.869 5.328 6.356
0.638 0.874 2.357
2.238 2.664 3.178
2.007 3.538 0.821


## ii
As2P3 PBE relaxed; SG = No. 164; total magnetic moment = 0.0 μB per cell; DOS at the Fermi energy = 0.26 states/eV per atom
1.0
0.310 1.356 -3.202
-2.711 0.883 2.015
4.398 6.373 3.125
As P
2 3
Cartesian
1.870 6.220 2.816
0.127 2.392 -0.878
0.128 3.695 1.578
0.000 0.000 0.000
1.869 4.917 0.360


The structure with the least stability is ii.


## i
PaAsP2 PBE relaxed; SG = No. 166; total magnetic moment = 0.0 μB per cell; DOS at the Fermi energy = 0.86 states/eV per atom
1.0
4.523 0.000 0.000
2.261 3.917 0.000
2.261 1.306 4.262
Pa P As
1 2 1
Cartesian
4.523 2.611 2.131
2.261 1.306 0.818
6.784 3.917 3.443
0.000 0.000 0.000


## ii
PaAsP2 PBE relaxed; SG = No. 123; total magnetic moment = 0.0 μB per cell; DOS at the Fermi energy = 0.57 states/eV per atom
1.0
-1.685 -3.417 -0.479
3.064 -1.112 -2.848
2.396 -1.632 3.214
P As Pa
2 1 1
Cartesian
1.532 -0.556 -1.424
1.198 -0.816 1.607
-0.843 -1.709 -0.240
1.887 -3.081 -0.057


The structure with the least stability is i.